This record from Alexandria describes CuAg2MoIr at its PBEsol-relaxed geometry. The functional is SCAN.

Properties
DFT total energy (eV/atom): -34.943
E_form (eV/f.u.): 9.20

a = 4.969 Å, b = 4.969 Å, c = 4.542 Å
α = 90.00°, β = 90.00°, γ = 90.00°
Sites, in units of the cell vectors:
Cu 0.000 0.000 0.000
Ag 0.000 0.500 0.500
Ag 0.500 0.000 0.500
Mo 0.500 0.500 0.500
Ir 0.500 0.500 0.000

=====

This record from Alexandria describes BaHfS3 at its PBEsol-relaxed geometry. The functional is SCAN.

Properties
DFT total energy (eV/atom): -28.308
E_form (uncorrected) (eV/atom): -2.087

a = 8.613 Å, b = 3.822 Å, c = 14.272 Å
α = 90.00°, β = 90.00°, γ = 90.00°
Sites, in units of the cell vectors:
Ba 0.067 0.250 0.174
Ba 0.433 0.750 0.674
Ba 0.567 0.250 0.326
Ba 0.933 0.750 0.826
Hf 0.162 0.750 0.441
Hf 0.338 0.250 0.941
Hf 0.662 0.750 0.059
Hf 0.838 0.250 0.559
S 0.025 0.750 0.604
S 0.172 0.750 0.004
S 0.216 0.250 0.788
S 0.284 0.750 0.288
S 0.328 0.250 0.504
S 0.475 0.250 0.104
S 0.525 0.750 0.896
S 0.672 0.750 0.496
S 0.716 0.250 0.712
S 0.784 0.750 0.212
S 0.828 0.250 0.996
S 0.975 0.250 0.396

=====

This record from Alexandria describes Ga2POsRu at its PBEsol-relaxed geometry. The functional is SCAN.

Properties
DFT total energy (eV/atom): -28.881
E_form (eV/f.u.): 5.39

a = 4.590 Å, b = 4.590 Å, c = 4.653 Å
α = 90.00°, β = 90.00°, γ = 90.00°
Sites, in units of the cell vectors:
Ga 0.000 0.500 0.000
Ga 0.500 0.000 0.000
P 0.000 0.000 0.500
Os 0.500 0.500 0.500
Ru 0.500 0.500 0.000

=====

In Å³ per atom, the calculated volume values for the records above are, in order, 22.4 23.5 19.6.